No. 1
The following is a DFT calculation (PBE) of a relaxed CeSm2In3 crystal.

Calculated values
VASP energy ... -26.230 eV per cell
Formation energy ... -0.44 eV per atom

Geometry as CIF:
```
data_CeSm2In3
_chemical_formula_sum 'Ce1 Sm2 In3'
_symmetry_space_group_name_H-M 'P 4/m m m'
_symmetry_Int_Tables_number 123
_symmetry_space_group_name_Hall '-P 4 2'
_cell_length_a 3.539
_cell_length_b 3.539
_cell_length_c 13.375
_cell_angle_alpha 90.00
_cell_angle_beta 90.00
_cell_angle_gamma 90.00
loop_
_atom_site_label
_atom_site_type_symbol
_atom_site_fract_x
_atom_site_fract_y
_atom_site_fract_z
_atom_site_occupancy
Ce1 Ce 0.000 0.000 0.000 1
Sm1 Sm 0.000 0.000 0.336 1
In1 In 0.500 0.500 0.169 1
In2 In 0.500 0.500 0.500 1
```

---

No. 2
The following is a DFT calculation (PBE) of a relaxed ZnAg2SnS4 crystal.

Calculated values
VASP energy ... -61.200 eV per cell
Formation energy (no corrections) ... -389 meV per atom

Geometry as CIF:
```
data_ZnAg2SnS4
_chemical_formula_sum 'Zn2 Ag4 Sn2 S8'
_symmetry_space_group_name_H-M 'I -4'
_symmetry_Int_Tables_number 82
_cell_length_a 5.849
_cell_length_b 5.849
_cell_length_c 11.026
_cell_angle_alpha 90.00
_cell_angle_beta 90.00
_cell_angle_gamma 90.00
loop_
_symmetry_equiv_pos_as_xyz
'x,y,z'
'y,-x,-z'
'-x,-y,z'
'-y,x,-z'
'x+1/2,y+1/2,z+1/2'
'y+1/2,-x+1/2,-z+1/2'
'-x+1/2,-y+1/2,z+1/2'
'-y+1/2,x+1/2,-z+1/2'
loop_
_atom_site_label
_atom_site_type_symbol
_atom_site_fract_x
_atom_site_fract_y
_atom_site_fract_z
_atom_site_occupancy
Zn1 Zn 0.000 0.000 0.000 1
Ag1 Ag 0.000 0.000 0.500 1
Ag2 Ag 0.000 0.500 0.250 1
Sn1 Sn 0.000 0.500 0.750 1
S1 S 0.226 0.245 0.879 1
```

---

No. 3
The following is a DFT calculation (PBE) of a relaxed Li2CrCu crystal.

Calculated values
VASP energy ... -16.432 eV per cell
Formation energy ... 0.28 eV per atom

Geometry as CIF:
```
data_Li2CrCu
_chemical_formula_sum 'Li2 Cr1 Cu1'
_symmetry_space_group_name_H-M 'P 4 m m'
_symmetry_Int_Tables_number 99
_cell_length_a 2.441
_cell_length_b 2.441
_cell_length_c 8.870
_cell_angle_alpha 90.00
_cell_angle_beta 90.00
_cell_angle_gamma 90.00
loop_
_symmetry_equiv_pos_as_xyz
'x,y,z'
'-y,x,z'
'-x,-y,z'
'y,-x,z'
'-x,y,z'
'y,x,z'
'x,-y,z'
'-y,-x,z'
loop_
_atom_site_label
_atom_site_type_symbol
_atom_site_fract_x
_atom_site_fract_y
_atom_site_fract_z
_atom_site_occupancy
Li1 Li 0.000 0.000 0.000 1
Li2 Li 0.500 0.500 0.291 1
Cr1 Cr 0.000 0.000 0.543 1
Cu1 Cu 0.500 0.500 0.768 1
```

---

No. 4
The following is a DFT calculation (PBE) of a relaxed PuHI2 crystal.

Calculated values
VASP energy ... -57.837 eV per cell

Geometry as CIF:
```
data_PuHI2
_chemical_formula_sum 'Pu3 H3 I6'
_symmetry_space_group_name_H-M 'R -3 m'
_symmetry_Int_Tables_number 166
_symmetry_space_group_name_Hall '-R 3 2"'
_cell_length_a 3.9902
_cell_length_b 3.9902
_cell_length_c 27.3474
_cell_angle_alpha 90.00
_cell_angle_beta 90.00
_cell_angle_gamma 120.00
loop_
_atom_site_label
_atom_site_type_symbol
_atom_site_fract_x
_atom_site_fract_y
_atom_site_fract_z
_atom_site_occupancy
Pu1 Pu 0.0000 0.0000 0.0000 1
H1 H 0.0000 0.0000 0.5000 1
I1 I 0.0000 0.0000 0.1067 1
```

---

No. 5
The following is a DFT calculation (PBE) of a relaxed Ac2EuS crystal.

Calculated values
VASP energy ... -76.587 eV per cell
Formation energy (no corrections) ... -728 meV per atom

Geometry as CIF:
```
data_Ac2EuS
_chemical_formula_sum 'Ac6 Eu3 S3'
_symmetry_space_group_name_H-M 'R -3 m'
_symmetry_Int_Tables_number 166
_symmetry_space_group_name_Hall '-R 3 2"'
_cell_length_a 4.0723
_cell_length_b 4.0723
_cell_length_c 33.7393
_cell_angle_alpha 90.00
_cell_angle_beta 90.00
_cell_angle_gamma 120.00
loop_
_atom_site_label
_atom_site_type_symbol
_atom_site_fract_x
_atom_site_fract_y
_atom_site_fract_z
_atom_site_occupancy
Ac1 Ac 0.0000 0.0000 0.1121 1
Eu1 Eu 0.0000 0.0000 0.0000 1
S1 S 0.0000 0.0000 0.5000 1
```

---

No. 6
The following is a DFT calculation (PBE) of a relaxed Na3Ca2AuO6 crystal.

Calculated values
VASP energy ... -120.971 eV per cell
Formation energy (no corrections) ... -1625 meV per atom

Geometry as CIF:
```
data_Na3Ca2AuO6
_chemical_formula_sum 'Na6 Ca4 Au2 O12'
_symmetry_space_group_name_H-M 'C 1 2/m 1'
_symmetry_Int_Tables_number 12
_cell_length_a 5.775
_cell_length_b 10.020
_cell_length_c 5.873
_cell_angle_alpha 90.00
_cell_angle_beta 109.08
_cell_angle_gamma 90.00
loop_
_symmetry_equiv_pos_as_xyz
'x,y,z'
'-x,-y,-z'
'-x,y,-z'
'x,-y,z'
'x+1/2,y+1/2,z'
'-x+1/2,-y+1/2,-z'
'-x+1/2,y+1/2,-z'
'x+1/2,-y+1/2,z'
loop_
_atom_site_label
_atom_site_type_symbol
_atom_site_fract_x
_atom_site_fract_y
_atom_site_fract_z
_atom_site_occupancy
Na1 Na 0.000 0.000 0.000 1
Na2 Na 0.000 0.344 0.000 1
Ca1 Ca 0.000 0.168 0.500 1
Au1 Au 0.000 0.500 0.500 1
O1 O 0.220 0.351 0.718 1
O2 O 0.229 0.500 0.290 1
```

---

No. 7
The following is a DFT calculation (PBE) of a relaxed KBa2Sr crystal.

Calculated values
VASP energy ... -12.603 eV per cell
Formation energy ... 0.08 eV per atom

Geometry as CIF:
```
data_KBa2Sr
_chemical_formula_sum 'K2 Ba4 Sr2'
_symmetry_space_group_name_H-M 'C 1 2/m 1'
_symmetry_Int_Tables_number 12
_cell_length_a 8.713
_cell_length_b 14.187
_cell_length_c 4.326
_cell_angle_alpha 90.00
_cell_angle_beta 109.29
_cell_angle_gamma 90.00
loop_
_symmetry_equiv_pos_as_xyz
'x,y,z'
'-x,-y,-z'
'-x,y,-z'
'x,-y,z'
'x+1/2,y+1/2,z'
'-x+1/2,-y+1/2,-z'
'-x+1/2,y+1/2,-z'
'x+1/2,-y+1/2,z'
loop_
_atom_site_label
_atom_site_type_symbol
_atom_site_fract_x
_atom_site_fract_y
_atom_site_fract_z
_atom_site_occupancy
K1 K 0.000 0.000 0.000 1
Ba1 Ba 0.250 0.250 0.500 1
Sr1 Sr 0.000 0.500 0.000 1
```

---

No. 8
The following is a DFT calculation (PBE) of a relaxed Ho4ErZr crystal.

Calculated values
VASP energy ... -122.365 eV per cell
Formation energy ... 0.14 eV per atom

Geometry as CIF:
```
data_Ho4ErZr
_chemical_formula_sum 'Ho16 Er4 Zr4'
_symmetry_space_group_name_H-M 'C 1 2/c 1'
_symmetry_Int_Tables_number 15
_cell_length_a 8.774
_cell_length_b 14.155
_cell_length_c 6.216
_cell_angle_alpha 90.00
_cell_angle_beta 109.56
_cell_angle_gamma 90.00
loop_
_symmetry_equiv_pos_as_xyz
'x,y,z'
'-x,-y,-z'
'-x,y,-z+1/2'
'x,-y,z+1/2'
'x+1/2,y+1/2,z'
'-x+1/2,-y+1/2,-z'
'-x+1/2,y+1/2,-z+1/2'
'x+1/2,-y+1/2,z+1/2'
loop_
_atom_site_label
_atom_site_type_symbol
_atom_site_fract_x
_atom_site_fract_y
_atom_site_fract_z
_atom_site_occupancy
Ho1 Ho 0.095 0.188 0.040 1
Ho2 Ho 0.209 0.386 0.365 1
Er1 Er 0.000 0.406 0.750 1
Zr1 Zr 0.000 0.003 0.250 1
```

---

No. 9
The following is a DFT calculation (PBE) of a relaxed CaDyTlGa crystal.

Calculated values
VASP energy ... -13.806 eV per cell
Formation energy ... -0.45 eV per atom

Geometry as CIF:
```
data_CaDyTlGa
_chemical_formula_sum 'Ca1 Dy1 Tl1 Ga1'
_symmetry_space_group_name_H-M 'P 4 m m'
_symmetry_Int_Tables_number 99
_cell_length_a 3.716
_cell_length_b 3.716
_cell_length_c 7.534
_cell_angle_alpha 90.00
_cell_angle_beta 90.00
_cell_angle_gamma 90.00
loop_
_symmetry_equiv_pos_as_xyz
'x,y,z'
'-y,x,z'
'-x,-y,z'
'y,-x,z'
'-x,y,z'
'y,x,z'
'x,-y,z'
'-y,-x,z'
loop_
_atom_site_label
_atom_site_type_symbol
_atom_site_fract_x
_atom_site_fract_y
_atom_site_fract_z
_atom_site_occupancy
Ca1 Ca 0.000 0.000 0.000 1
Dy1 Dy 0.000 0.000 0.534 1
Tl1 Tl 0.500 0.500 0.270 1
Ga1 Ga 0.500 0.500 0.755 1
```

---

No. 10
The following is a DFT calculation (PBE) of a relaxed BeCoTe2 crystal.

Calculated values
VASP energy ... -68.572 eV per cell
Formation energy (no corrections) ... -7 meV per atom

Geometry as CIF:
```
data_BeCoTe2
_chemical_formula_sum 'Be4 Co4 Te8'
_symmetry_space_group_name_H-M 'I -4 2 d'
_symmetry_Int_Tables_number 122
_symmetry_space_group_name_Hall 'I -4 2bw'
_cell_length_a 5.789
_cell_length_b 5.789
_cell_length_c 11.401
_cell_angle_alpha 90.00
_cell_angle_beta 90.00
_cell_angle_gamma 90.00
loop_
_atom_site_label
_atom_site_type_symbol
_atom_site_fract_x
_atom_site_fract_y
_atom_site_fract_z
_atom_site_occupancy
Be1 Be 0.000 0.000 0.000 1
Co1 Co 0.000 0.000 0.500 1
Te1 Te 0.238 0.250 0.125 1
```

---

No. 11
The following is a DFT calculation (PBE) of a relaxed La4TcAgBr2 crystal.

Calculated values
VASP energy ... -42.103 eV per cell
Formation energy (no corrections) ... -729 meV per atom

Geometry as CIF:
```
data_La4TcAgBr2
_chemical_formula_sum 'La4 Tc1 Ag1 Br2'
_symmetry_space_group_name_H-M 'P 1 2/m 1'
_symmetry_Int_Tables_number 10
_cell_length_a 7.434
_cell_length_b 4.280
_cell_length_c 8.319
_cell_angle_alpha 90.00
_cell_angle_beta 107.10
_cell_angle_gamma 90.00
loop_
_symmetry_equiv_pos_as_xyz
'x,y,z'
'-x,-y,-z'
'-x,y,-z'
'x,-y,z'
loop_
_atom_site_label
_atom_site_type_symbol
_atom_site_fract_x
_atom_site_fract_y
_atom_site_fract_z
_atom_site_occupancy
La1 La 0.217 0.000 0.205 1
La2 La 0.232 0.500 0.796 1
Tc1 Tc 0.000 0.500 0.000 1
Ag1 Ag 0.500 0.000 0.000 1
Br1 Br 0.000 0.000 0.500 1
Br2 Br 0.500 0.500 0.500 1
```

---

No. 12
The following is a DFT calculation (PBE) of a relaxed BaSrSb4 crystal.

Calculated values
VASP energy ... -92.053 eV per cell
Formation energy (no corrections) ... -487 meV per atom

Geometry as CIF:
```
data_BaSrSb4
_chemical_formula_sum 'Ba4 Sr4 Sb16'
_symmetry_space_group_name_H-M 'F -4 3 m'
_symmetry_Int_Tables_number 216
_symmetry_space_group_name_Hall 'F -4 2 3'
_cell_length_a 9.251
_cell_length_b 9.251
_cell_length_c 9.251
_cell_angle_alpha 90.00
_cell_angle_beta 90.00
_cell_angle_gamma 90.00
loop_
_atom_site_label
_atom_site_type_symbol
_atom_site_fract_x
_atom_site_fract_y
_atom_site_fract_z
_atom_site_occupancy
Ba1 Ba 0.000 0.000 0.000 1
Sr1 Sr 0.250 0.250 0.250 1
Sb1 Sb 0.124 0.124 0.624 1
```